## SmZn4Ni (GGA-PBE)

Data for an optimized crystal structure of SmZn4Ni.

Cell and atoms, written as POSCAR:
```
SmZn4Ni
1.0
0.0000 3.6871 3.6871
3.6871 0.0000 3.6871
3.6871 3.6871 0.0000
Sm Zn Ni
1 4 1
Direct
0.0000 0.0000 0.0000
0.3763 0.3763 0.3763
0.3763 0.3763 0.8711
0.3763 0.8711 0.3763
0.8711 0.3763 0.3763
0.7500 0.7500 0.7500
```

Results
V ... 16.71 A^3/atom
SG ... No. 216
Energy relative to the elements ... -1.0 eV per formula unit
Energy relative to the lowest polymorph listed for this composition ... 149.3 meV/atom
Size of the total moment ... 0.001 μB/f.u.

=====

## SmZnNi (GGA-PBE)

Data for an optimized crystal structure of SmZnNi.

Cell and atoms, written as POSCAR:
```
SmZnNi
1.0
2.4037 -2.4076 0.0000
2.4037 2.4076 0.0000
0.0000 0.0000 9.8449
Sm Zn Ni
2 2 2
Direct
0.0000 0.0000 0.2020
0.0000 0.0000 0.7980
0.0000 0.0000 0.5000
0.5000 0.5000 0.0000
0.5000 0.5000 0.3761
0.5000 0.5000 0.6239
```

Results
V ... 18.99 A^3/atom
SG ... No. 65
Energy relative to the elements ... -0.7 eV per formula unit
Size of the total moment ... 0.000 μB/f.u.

=====

## Sm2ZnNi (GGA-PBE)

Data for an optimized crystal structure of Sm2ZnNi.

Cell and atoms, written as POSCAR:
```
Sm2ZnNi
1.0
5.9046 0.0000 0.0000
0.0000 4.4781 0.0000
-2.8701 0.0000 6.9634
Sm Zn Ni
4 2 2
Direct
0.1785 0.2500 0.4177
0.2798 0.7500 0.0716
0.7202 0.2500 0.9284
0.8215 0.7500 0.5823
0.3724 0.7500 0.7109
0.6276 0.2500 0.2891
0.1706 0.2500 0.7863
0.8294 0.7500 0.2137
```

Results
V ... 23.02 A^3/atom
SG ... No. 11
Energy relative to the elements ... -1.3 eV per formula unit
Energy relative to the lowest polymorph listed for this composition ... 0.0 meV/atom
Size of the total moment ... 0.000 μB/f.u.

=====

## Sm2Zn12Ni5 (GGA-PBE)

Data for an optimized crystal structure of Sm2Zn12Ni5.

Cell and atoms, written as POSCAR:
```
Sm2Zn12Ni5
1.0
4.4363 2.5613 4.2244
-4.4363 2.5613 4.2244
0.0000 -5.1226 4.2244
Sm Zn Ni
2 12 5
Direct
0.1653 0.1653 0.1653
0.8347 0.8347 0.8347
0.1568 0.1568 0.6384
0.1568 0.6384 0.1568
0.2152 0.5000 0.7848
0.2152 0.7848 0.5000
0.3616 0.8432 0.8432
0.5000 0.2152 0.7848
0.5000 0.7848 0.2152
0.6384 0.1568 0.1568
0.7848 0.2152 0.5000
0.7848 0.5000 0.2152
0.8432 0.3616 0.8432
0.8432 0.8432 0.3616
0.0000 0.5000 0.5000
0.3975 0.3975 0.3975
0.5000 0.0000 0.5000
0.5000 0.5000 0.0000
0.6025 0.6025 0.6025
```

Results
V ... 15.16 A^3/atom
SG ... No. 166
Energy relative to the elements ... -5.5 eV per formula unit
Size of the total moment ... 0.000 μB/f.u.

=====

## Sm3ZnNi2 (GGA-PBE)

Data for an optimized crystal structure of Sm3ZnNi2.

Cell and atoms, written as POSCAR:
```
Sm3ZnNi2
1.0
4.4678 -6.9046 0.0000
4.4678 6.9046 0.0000
0.0000 0.0000 9.1507
Sm Zn Ni
12 4 8
Direct
0.0896 0.3377 0.5480
0.1623 0.4104 0.9520
0.1628 0.8372 0.7808
0.3372 0.6628 0.2808
0.3377 0.0896 0.4520
0.4104 0.1623 0.0480
0.5896 0.8377 0.9520
0.6623 0.9104 0.5480
0.6628 0.3372 0.7192
0.8372 0.1628 0.2192
0.8377 0.5896 0.0480
0.9104 0.6623 0.4520
0.0516 0.9484 0.1842
0.4484 0.5516 0.6842
0.5516 0.4484 0.3158
0.9484 0.0516 0.8158
0.2175 0.2825 0.2500
0.2185 0.7815 0.0552
0.2815 0.7185 0.5552
0.2825 0.2175 0.7500
0.7175 0.7825 0.2500
0.7185 0.2815 0.4448
0.7815 0.2185 0.9448
0.7825 0.7175 0.7500
```

Results
V ... 23.52 A^3/atom
SG ... No. 64
Energy relative to the elements ... -1.4 eV per formula unit
Size of the total moment ... 0.000 μB/f.u.

=====

## Sm8ZnNi2 (GGA-PBE)

Data for an optimized crystal structure of Sm8ZnNi2.

Cell and atoms, written as POSCAR:
```
Sm8ZnNi2
1.0
4.2605 -6.7349 0.0000
4.2605 6.7349 0.0000
-1.4570 0.0000 5.3619
Sm Zn Ni
8 1 2
Direct
0.0000 0.0000 0.0000
0.0496 0.3036 0.6109
0.1443 0.6250 0.1883
0.3036 0.0496 0.6109
0.4655 0.7193 0.7666
0.6250 0.1443 0.1883
0.7193 0.4655 0.7666
0.7690 0.7690 0.3769
0.3849 0.3849 0.1829
0.0848 0.6841 0.6883
0.6841 0.0848 0.6883
```

Results
V ... 27.97 A^3/atom
SG ... No. 8
Energy relative to the elements ... -0.7 eV per formula unit
Size of the total moment ... 0.000 μB/f.u.

=====

## SmZn3Ni (GGA-PBE)

Data for an optimized crystal structure of SmZn3Ni.

Cell and atoms, written as POSCAR:
```
SmZn3Ni
1.0
2.9707 -5.7349 0.0000
2.9707 5.7349 0.0000
0.0000 0.0000 5.1489
Sm Zn Ni
2 6 2
Direct
0.1184 0.8816 0.7500
0.8816 0.1184 0.2500
0.1319 0.3984 0.7500
0.3128 0.6872 0.2500
0.3984 0.1319 0.2500
0.6016 0.8681 0.7500
0.6872 0.3128 0.7500
0.8681 0.6016 0.2500
0.5000 0.5000 0.0000
0.5000 0.5000 0.5000
```

Results
V ... 17.54 A^3/atom
SG ... No. 63
Energy relative to the elements ... -1.5 eV per formula unit
Energy relative to the lowest polymorph listed for this composition ... 0.0 meV/atom
Size of the total moment ... 0.000 μB/f.u.

=====

## SmZn6Ni6 (GGA-PBE)

Data for an optimized crystal structure of SmZn6Ni6.

Cell and atoms, written as POSCAR:
```
SmZn6Ni6
1.0
-2.4810 4.1843 4.3251
2.4810 -4.1843 4.3251
2.4810 4.1843 -4.3251
Sm Zn Ni
1 6 6
Direct
0.0000 0.0000 0.0000
0.2037 0.7037 0.5000
0.3441 0.0000 0.3441
0.3514 0.3514 0.0000
0.6486 0.6486 0.0000
0.6559 0.0000 0.6559
0.7963 0.2963 0.5000
0.0000 0.0000 0.5000
0.0000 0.5000 0.0000
0.2316 0.5000 0.7316
0.5000 0.0000 0.0000
0.5000 0.5000 0.5000
0.7684 0.5000 0.2684
```

Results
V ... 13.82 A^3/atom
SG ... No. 71
Energy relative to the elements ... -3.8 eV per formula unit
Size of the total moment ... 0.000 μB/f.u.

=====

## Sm5ZnNi2 (GGA-PBE)

Data for an optimized crystal structure of Sm5ZnNi2.

Cell and atoms, written as POSCAR:
```
Sm5ZnNi2
1.0
-3.9233 3.9233 6.4807
3.9233 -3.9233 6.4807
3.9233 3.9233 -6.4807
Sm Zn Ni
10 2 4
Direct
0.0000 0.0000 0.0000
0.0225 0.5225 0.8235
0.1990 0.0225 0.5000
0.3010 0.8010 0.8235
0.4775 0.3010 0.5000
0.5000 0.5000 0.0000
0.5225 0.6990 0.5000
0.6990 0.1990 0.1765
0.8010 0.9775 0.5000
0.9775 0.4775 0.1765
0.2500 0.2500 0.0000
0.7500 0.7500 0.0000
0.1209 0.3791 0.5000
0.3791 0.8791 0.2582
0.6209 0.1209 0.7418
0.8791 0.6209 0.5000
```

Results
V ... 24.94 A^3/atom
SG ... No. 140
Energy relative to the elements ... -1.9 eV per formula unit
Size of the total moment ... 0.000 μB/f.u.

=====

## SmZnNi (GGA-PBE)

Data for an optimized crystal structure of SmZnNi.

Cell and atoms, written as POSCAR:
```
SmZnNi
1.0
-1.6816 1.6816 4.9551
1.6816 -1.6816 4.9551
1.6816 1.6816 -4.9551
Sm Zn Ni
1 1 1
Direct
0.0000 0.0000 0.0000
0.2931 0.2931 0.0000
0.6838 0.6838 0.0000
```

Results
V ... 18.68 A^3/atom
SG ... No. 107
Energy relative to the elements ... -0.7 eV per formula unit
Size of the total moment ... 0.000 μB/f.u.

=====

## Sm3Zn5Ni6 (GGA-PBE)

Data for an optimized crystal structure of Sm3Zn5Ni6.

Cell and atoms, written as POSCAR:
```
Sm3Zn5Ni6
1.0
-2.0962 4.4609 6.1548
2.0962 -4.4609 6.1548
2.0962 4.4609 -6.1548
Sm Zn Ni
3 5 6
Direct
0.0000 0.0000 0.0000
0.3187 0.3187 0.0000
0.6813 0.6813 0.0000
0.0234 0.6811 0.3423
0.3388 0.6811 0.6577
0.5000 0.0000 0.5000
0.6612 0.3189 0.3423
0.9766 0.3189 0.6577
0.1644 0.8905 0.2739
0.2898 0.5000 0.7898
0.3833 0.1095 0.2739
0.6167 0.8905 0.7261
0.7102 0.5000 0.2102
0.8356 0.1095 0.7261
```

Results
V ... 16.44 A^3/atom
SG ... No. 71
Energy relative to the elements ... -5.2 eV per formula unit
Size of the total moment ... 0.000 μB/f.u.

=====

## SmZn7Ni5 (GGA-PBE)

Data for an optimized crystal structure of SmZn7Ni5.

Cell and atoms, written as POSCAR:
```
SmZn7Ni5
1.0
-2.5149 4.2875 4.2635
2.5149 -4.2875 4.2635
2.5149 4.2875 -4.2635
Sm Zn Ni
1 7 5
Direct
0.0000 0.0000 0.0000
0.2299 0.5143 0.7156
0.2446 0.7446 0.5000
0.3520 0.3520 0.0000
0.3747 0.0271 0.3476
0.6641 0.6641 0.0000
0.6796 0.0271 0.6524
0.7987 0.5143 0.2844
0.0176 0.0164 0.4981
0.0176 0.5194 0.0011
0.5183 0.0164 0.9989
0.5183 0.5194 0.5019
0.7916 0.2916 0.5000
```

Results
V ... 14.15 A^3/atom
SG ... No. 44
Energy relative to the elements ... -3.8 eV per formula unit
Size of the total moment ... 0.000 μB/f.u.

=====

## Sm8Zn2Ni (GGA-PBE)

Data for an optimized crystal structure of Sm8Zn2Ni.

Cell and atoms, written as POSCAR:
```
Sm8Zn2Ni
1.0
8.9199 -2.5828 0.0000
8.9199 2.5828 0.0000
-1.3954 0.0000 6.6304
Sm Zn Ni
8 2 1
Direct
0.0258 0.0258 0.2781
0.2026 0.2026 0.8152
0.3454 0.3454 0.5379
0.4104 0.4104 0.0576
0.5896 0.5896 0.9424
0.6546 0.6546 0.4621
0.7974 0.7974 0.1848
0.9742 0.9742 0.7219
0.1931 0.1931 0.2440
0.8069 0.8069 0.7560
0.5000 0.5000 0.5000
```

Results
V ... 27.77 A^3/atom
SG ... No. 12
Energy relative to the elements ... -1.4 eV per formula unit
Size of the total moment ... 0.000 μB/f.u.

=====

## SmZn5Ni2 (GGA-PBE)

Data for an optimized crystal structure of SmZn5Ni2.

Cell and atoms, written as POSCAR:
```
SmZn5Ni2
1.0
-1.9427 3.6248 4.6278
1.9427 -3.6248 4.6278
1.9427 3.6248 -4.6278
Sm Zn Ni
1 5 2
Direct
0.0000 0.0000 0.0000
0.1610 0.3448 0.8162
0.4715 0.6552 0.8162
0.5000 0.0000 0.5000
0.5285 0.3448 0.1838
0.8390 0.6552 0.1838
0.2403 0.7403 0.5000
0.7597 0.2597 0.5000
```

Results
V ... 16.29 A^3/atom
SG ... No. 71
Energy relative to the elements ... -2.2 eV per formula unit
Size of the total moment ... 0.000 μB/f.u.

=====

## Sm3Zn9Ni2 (GGA-PBE)

Data for an optimized crystal structure of Sm3Zn9Ni2.

Cell and atoms, written as POSCAR:
```
Sm3Zn9Ni2
1.0
-2.1485 4.5386 6.4018
2.1485 -4.5386 6.4018
2.1485 4.5386 -6.4018
Sm Zn Ni
3 9 2
Direct
0.0000 0.0000 0.0000
0.3084 0.3084 0.0000
0.6916 0.6916 0.0000
0.0196 0.6633 0.3563
0.1596 0.8768 0.2829
0.3070 0.6633 0.6437
0.4061 0.1232 0.2829
0.5000 0.0000 0.5000
0.5939 0.8768 0.7171
0.6930 0.3367 0.3563
0.8404 0.1232 0.7171
0.9804 0.3367 0.6437
0.3017 0.5000 0.8017
0.6983 0.5000 0.1983
```

Results
V ... 17.84 A^3/atom
SG ... No. 71
Energy relative to the elements ... -4.6 eV per formula unit
Size of the total moment ... 0.000 μB/f.u.

=====

## Sm3ZnNi3 (GGA-PBE)

Data for an optimized crystal structure of Sm3ZnNi3.

Cell and atoms, written as POSCAR:
```
Sm3ZnNi3
1.0
2.1089 -5.0020 0.0000
2.1089 5.0020 0.0000
0.0000 0.0000 13.2428
Sm Zn Ni
6 2 6
Direct
0.0098 0.9902 0.7500
0.2916 0.7084 0.6038
0.2916 0.7084 0.8962
0.7084 0.2916 0.1038
0.7084 0.2916 0.3962
0.9902 0.0098 0.2500
0.0000 0.0000 0.0000
0.0000 0.0000 0.5000
0.2849 0.7151 0.2500
0.4202 0.5798 0.0891
0.4202 0.5798 0.4109
0.5798 0.4202 0.5891
0.5798 0.4202 0.9109
0.7151 0.2849 0.7500
```

Results
V ... 19.96 A^3/atom
SG ... No. 63
Energy relative to the elements ... -2.7 eV per formula unit
Size of the total moment ... 0.000 μB/f.u.

=====

## SmZrNi2 (GGA-PBE)

Data for an optimized crystal structure of SmZrNi2.

Cell and atoms, written as POSCAR:
```
SmZrNi2
1.0
4.7269 0.0000 0.0000
0.0000 4.7269 0.0000
0.0000 0.0000 3.2920
Sm Zr Ni
1 1 2
Direct
0.0000 0.0000 0.0000
0.5000 0.5000 0.0000
0.0000 0.5000 0.5000
0.5000 0.0000 0.5000
```

Results
V ... 18.39 A^3/atom
SG ... No. 123
Energy relative to the elements ... -1.0 eV per formula unit
Size of the total moment ... 0.000 μB/f.u.

=====

## Ni7Sn (GGA-PBE)

Data for an optimized crystal structure of Ni7Sn.

Cell and atoms, written as POSCAR:
```
Ni7Sn
1.0
0.0000 3.6333 3.6333
3.6333 0.0000 3.6333
3.6333 3.6333 0.0000
Ni Sn
7 1
Direct
0.0000 0.0000 0.0000
0.0000 0.0000 0.5000
0.0000 0.5000 0.0000
0.0000 0.5000 0.5000
0.5000 0.0000 0.0000
0.5000 0.0000 0.5000
0.5000 0.5000 0.0000
0.5000 0.5000 0.5000
```

Results
V ... 11.99 A^3/atom
SG ... No. 225
Energy relative to the elements ... -0.2 eV per formula unit
Size of the total moment ... 2.458 μB/f.u.

=====

## NiSn3 (GGA-PBE)

Data for an optimized crystal structure of NiSn3.

Cell and atoms, written as POSCAR:
```
NiSn3
1.0
1.9234 -5.6077 0.0000
1.9234 5.6077 0.0000
0.0000 0.0000 8.3224
Ni Sn
2 6
Direct
0.2466 0.7534 0.7500
0.7534 0.2466 0.2500
0.1440 0.8560 0.0566
0.1440 0.8560 0.4434
0.4238 0.5762 0.2500
0.5762 0.4238 0.7500
0.8560 0.1440 0.5566
0.8560 0.1440 0.9434
```

Results
V ... 22.44 A^3/atom
SG ... No. 63
Energy relative to the elements ... -0.1 eV per formula unit
Size of the total moment ... 0.000 μB/f.u.

=====

## Ni5Sn (GGA-PBE)

Data for an optimized crystal structure of Ni5Sn.

Cell and atoms, written as POSCAR:
```
Ni5Sn
1.0
1.8572 -5.3964 0.0000
1.8572 5.3964 0.0000
0.0000 0.0000 3.6745
Ni Sn
5 1
Direct
0.0000 0.0000 0.0000
0.1727 0.8273 0.5000
0.3256 0.6744 0.0000
0.6744 0.3256 0.0000
0.8273 0.1727 0.5000
0.5000 0.5000 0.5000
```

Results
V ... 12.28 A^3/atom
SG ... No. 65
Energy relative to the elements ... -0.5 eV per formula unit
Size of the total moment ... 0.868 μB/f.u.